Record 1
Material: LaHgPb
Method: DFT, PBE
State: optimized geometry

a = 3.6165 Å, b = 3.6165 Å, c = 8.0707 Å
α = 90.00°, β = 90.00°, γ = 120.00°
Space group P3m1 (No. 156)
Asymmetric unit:
1 La 0.0000 0.0000 0.0000 x1
2 Hg 0.3333 0.6667 0.6735 x1
3 Pb 0.6667 0.3333 0.3553 x1

## Properties
- uncorrected energy (eV per cell) = -9.50
- formation energy from the elements (eV per atom) = -0.188


Record 2
Material: LaHgPb2
Method: DFT, PBE
State: optimized geometry

a = 6.736 Å, b = 11.346 Å, c = 3.647 Å
α = 90.00°, β = 118.82°, γ = 90.00°
Space group C2/m (No. 12)
Asymmetric unit:
1 La 0.000 0.000 0.000 x2
2 Hg 0.000 0.500 0.000 x2
3 Pb 0.250 0.250 0.500 x4

## Properties
- uncorrected energy (eV per cell) = -27.42
- formation energy from the elements (eV per atom) = -0.266


Record 3
Material: La2HgPb
Method: DFT, PBE
State: optimized geometry

a = 4.382 Å, b = 5.003 Å, c = 11.155 Å
α = 90.00°, β = 90.00°, γ = 90.00°
Space group Imm2 (No. 44)
Asymmetric unit:
1 La 0.000 0.000 0.000 x2
2 La 0.000 0.500 0.234 x2
3 Hg 0.000 0.000 0.481 x2
4 Pb 0.000 0.500 0.770 x2

## Properties
- uncorrected energy (eV per cell) = -31.85
- formation energy from the elements (eV per atom) = -0.514


Copy entry 1 word for word.
Material: LaHgPb
Method: DFT, PBE
State: optimized geometry

a = 3.6165 Å, b = 3.6165 Å, c = 8.0707 Å
α = 90.00°, β = 90.00°, γ = 120.00°
Space group P3m1 (No. 156)
Asymmetric unit:
1 La 0.0000 0.0000 0.0000 x1
2 Hg 0.3333 0.6667 0.6735 x1
3 Pb 0.6667 0.3333 0.3553 x1

## Properties
- uncorrected energy (eV per cell) = -9.50
- formation energy from the elements (eV per atom) = -0.188